[1]
Compound: CaBe4W
Source: Alexandria
Functional: PBEsol
Structure: optimized geometry

Values from the calculation:
The crystal system is cubic. The value obtained for the formation energy is 0.41 eV per atom. Its volume is 12.10 Å³ per atom. The theoretical density is 5.95 g cm⁻³. Its density of states at the Fermi level is 5.18 states/eV/cell. As for the symmetry: No. 216.

The structure in POSCAR format:
```
CaBe4W
1.0
4.683 0.000 0.000
2.341 4.055 0.000
2.341 1.352 3.823
Be Ca W
4 1 1
Direct
0.370 0.370 0.370
0.370 0.370 0.889
0.889 0.370 0.370
0.370 0.889 0.370
0.750 0.750 0.750
0.000 0.000 0.000
```

---

[2]
Compound: CaBe2W
Source: Alexandria
Functional: PBEsol
Structure: optimized geometry

Values from the calculation:
The crystal system is cubic. The value obtained for the formation energy is 0.79 eV per atom. Its energy relative to the lowest polymorph listed for this composition is 0.285 eV per atom. Its volume is 14.65 Å³ per atom. The theoretical density is 6.85 g cm⁻³. Its density of states at the Fermi level is 3.22 states/eV/cell. As for the symmetry: No. 225.

The structure in POSCAR format:
```
CaBe2W
1.0
-4.303 0.213 -0.672
-2.185 -3.549 -1.283
-2.737 -1.988 2.751
Be Ca W
2 1 1
Direct
0.250 0.250 0.250
0.750 0.750 0.750
0.000 0.000 0.000
0.500 0.500 0.500
```

---

[3]
Compound: Ca2YBe
Source: Alexandria
Functional: PBEsol
Structure: optimized geometry

Values from the calculation:
The crystal system is orthorhombic. The value obtained for the formation energy is 0.29 eV per atom. Its volume is 27.88 Å³ per atom. The theoretical density is 2.65 g cm⁻³. Its density of states at the Fermi level is 4.90 states/eV/cell. As for the symmetry: No. 71.

The structure in POSCAR format:
```
Ca2YBe
1.0
-0.349 -3.479 0.822
3.189 0.649 4.103
-6.088 2.693 0.963
Y Be Ca
1 1 2
Direct
0.500 0.000 0.000
0.000 0.500 0.000
0.693 0.693 0.387
0.307 0.307 0.613
```

---

[4]
Compound: Ca2YBe
Source: Alexandria
Functional: PBEsol
Structure: optimized geometry

Values from the calculation:
The crystal system is tetragonal. The value obtained for the formation energy is 0.15 eV per atom. Its volume is 28.59 Å³ per atom. The theoretical density is 2.59 g cm⁻³. Its density of states at the Fermi level is 4.43 states/eV/cell. As for the symmetry: No. 99.

The structure in POSCAR format:
```
Ca2YBe
1.0
-1.529 0.161 -3.160
-2.858 -1.576 1.302
-3.579 8.268 2.152
Y Be Ca
1 1 2
Direct
0.500 0.500 0.573
0.000 0.000 0.733
0.500 0.500 0.928
0.000 0.000 0.265
```

---

[5]
Compound: CaBe2Zn
Source: Alexandria
Functional: PBEsol
Structure: optimized geometry

Values from the calculation:
The crystal system is monoclinic. The value obtained for the formation energy is 0.01 eV per atom. Its volume is 16.64 Å³ per atom. The theoretical density is 3.08 g cm⁻³. Its density of states at the Fermi level is 1.66 states/eV/cell. As for the symmetry: No. 8.

The structure in POSCAR format:
```
CaBe2Zn
1.0
-0.590 1.132 3.673
-2.018 -2.996 -1.459
5.148 -1.584 1.315
Be Zn Ca
2 1 1
Direct
0.995 0.990 0.985
0.315 0.629 0.943
0.690 0.379 0.069
0.501 0.002 0.503
```

---

[6]
Compound: CaBeZn
Source: Alexandria
Functional: PBEsol
Structure: optimized geometry

Values from the calculation:
The crystal system is cubic. The value obtained for the formation energy is 0.41 eV per atom. Its volume is 21.19 Å³ per atom. The theoretical density is 2.99 g cm⁻³. Its density of states at the Fermi level is 2.80 states/eV/cell. As for the symmetry: No. 216.

The structure in POSCAR format:
```
CaBeZn
1.0
4.480 0.000 0.000
2.240 3.880 0.000
2.240 1.293 3.658
Be Zn Ca
1 1 1
Direct
0.000 0.000 0.000
0.250 0.250 0.250
0.500 0.500 0.500
```